Entry 1:
Below is a geometry-optimized Dy3Si4Ge4 structure, with properties calculated at the PBE level. Values from VASP.

- uncorrected energy (eV per atom) = -5.193
- SG = Immm, No. 71

Cell and atoms, written as Quantum ESPRESSO input:
```
&SYSTEM
  ibrav = 0, nat = 11, ntyp = 3
/
ATOMIC_SPECIES
Si 28.09 Si.upf
Ge 72.64 Ge.upf
Dy 162.50 Dy.upf
CELL_PARAMETERS angstrom
-2.120 3.406 7.613
2.120 -3.406 7.613
2.120 3.406 -7.613
ATOMIC_POSITIONS angstrom
Si 2.120 1.211 -2.319
Si 2.120 1.211 2.319
Si 0.000 2.195 5.294
Si 0.000 2.195 9.931
Ge 0.000 1.260 7.613
Ge 0.000 0.000 11.955
Ge 0.000 0.000 3.271
Ge 2.120 2.146 0.000
Dy 2.120 0.000 5.608
Dy 0.000 3.406 2.004
Dy 0.000 0.000 0.000
```



Entry 2:
Below is a geometry-optimized SrZnCu2 structure, with properties calculated at the PBE level. Values from VASP.

- uncorrected energy (eV per atom) = -2.438
- SG = F-43m, No. 216

Cell and atoms, written as Quantum ESPRESSO input:
```
&SYSTEM
  ibrav = 0, nat = 4, ntyp = 3
/
ATOMIC_SPECIES
Cu 63.55 Cu.upf
Sr 87.62 Sr.upf
Zn 65.41 Zn.upf
CELL_PARAMETERS angstrom
0.000 3.386 3.386
3.386 0.000 3.386
3.386 3.386 0.000
ATOMIC_POSITIONS angstrom
Cu 1.693 1.693 1.693
Cu 0.000 0.000 0.000
Sr 5.080 5.080 5.080
Zn 3.386 3.386 3.386
```



Entry 3:
Below is a geometry-optimized LaBeCoPb structure, with properties calculated at the PBE level. Values from VASP.

- uncorrected energy (eV per atom) = -4.693
- offset from the most stable computed form (eV/atom) = 0.0000
- SG = F-43m, No. 216

Cell and atoms, written as Quantum ESPRESSO input:
```
&SYSTEM
  ibrav = 0, nat = 4, ntyp = 4
/
ATOMIC_SPECIES
Pb 207.20 Pb.upf
La 138.91 La.upf
Co 58.93 Co.upf
Be 9.01 Be.upf
CELL_PARAMETERS angstrom
0.000 3.363 3.363
3.363 0.000 3.363
3.363 3.363 0.000
ATOMIC_POSITIONS angstrom
Pb 0.000 0.000 0.000
La 3.363 3.363 3.363
Co 1.682 1.682 1.682
Be 5.045 5.045 5.045
```